No. 1
# ZnSiB2 | Alexandria | PBE-GGA | relaxed
data_ZnSiB2
_cell_length_a 5.1114
_cell_length_b 5.1114
_cell_length_c 8.4678
_cell_angle_alpha 90.00
_cell_angle_beta 90.00
_cell_angle_gamma 90.00
_space_group_name_H-M_alt 'I -4 2 d'
_space_group_IT_number 122
_space_group_name_Hall 'I -4 2bw'
loop_
_atom_site_label
_atom_site_fract_x
_atom_site_fract_y
_atom_site_fract_z
_atom_site_occupancy
Zn1 0.0000 0.0000 0.0000 1
Si1 0.0000 0.0000 0.5000 1
B1 0.2193 0.2500 0.6250 1
# Total energy = -16.76 eV per formula unit
# E above lowest polymorph = 0.000 eV per atom
# Formation energy from raw total energies = 317 kJ/mol of formula units
# Total magnetization = 0.000 μB per cell

***

No. 2
# ZnSi2B | Alexandria | PBE-GGA | relaxed
data_ZnSi2B
_cell_length_a 5.9471
_cell_length_b 5.9471
_cell_length_c 5.9471
_cell_angle_alpha 90.00
_cell_angle_beta 90.00
_cell_angle_gamma 90.00
_space_group_name_H-M_alt 'F m -3 m'
_space_group_IT_number 225
_space_group_name_Hall '-F 4 2 3'
loop_
_atom_site_label
_atom_site_fract_x
_atom_site_fract_y
_atom_site_fract_z
_atom_site_occupancy
Zn1 0.0000 0.0000 0.0000 1
Si1 0.2500 0.2500 0.2500 1
B1 0.0000 0.0000 0.5000 1
# Total energy = -14.80 eV per formula unit
# E above lowest polymorph = 0.594 eV per atom
# Formation energy from raw total energies = 386 kJ/mol of formula units
# Total magnetization = 0.000 μB per cell

***

No. 3
# ZnSiB2 | Alexandria | PBE-GGA | relaxed
data_ZnSiB2
_cell_length_a 5.5395
_cell_length_b 5.5395
_cell_length_c 5.5395
_cell_angle_alpha 90.00
_cell_angle_beta 90.00
_cell_angle_gamma 90.00
_space_group_name_H-M_alt 'F m -3 m'
_space_group_IT_number 225
_space_group_name_Hall '-F 4 2 3'
loop_
_atom_site_label
_atom_site_fract_x
_atom_site_fract_y
_atom_site_fract_z
_atom_site_occupancy
Zn1 0.0000 0.0000 0.0000 1
Si1 0.0000 0.0000 0.5000 1
B1 0.2500 0.2500 0.2500 1
# Total energy = -15.08 eV per formula unit
# E above lowest polymorph = 0.421 eV per atom
# Formation energy from raw total energies = 480 kJ/mol of formula units
# Total magnetization = 0.000 μB per cell

***

No. 4
# ZnSiB3 | Alexandria | PBE-GGA | relaxed
data_ZnSiB3
_cell_length_a 4.0305
_cell_length_b 4.0305
_cell_length_c 4.0305
_cell_angle_alpha 90.00
_cell_angle_beta 90.00
_cell_angle_gamma 90.00
_space_group_name_H-M_alt 'P m -3 m'
_space_group_IT_number 221
_space_group_name_Hall '-P 4 2 3'
loop_
_atom_site_label
_atom_site_fract_x
_atom_site_fract_y
_atom_site_fract_z
_atom_site_occupancy
Zn1 0.0000 0.0000 0.0000 1
Si1 0.5000 0.5000 0.5000 1
B1 0.0000 0.0000 0.5000 1
# Total energy = -16.55 eV per formula unit
# E above lowest polymorph = 0.500 eV per atom
# Formation energy from raw total energies = 982 kJ/mol of formula units
# Total magnetization = 0.000 μB per cell

***

No. 5
# Zn2SiB | Alexandria | PBE-GGA | relaxed
data_Zn2SiB
_cell_length_a 6.0443
_cell_length_b 6.0443
_cell_length_c 6.0443
_cell_angle_alpha 90.00
_cell_angle_beta 90.00
_cell_angle_gamma 90.00
_space_group_name_H-M_alt 'F m -3 m'
_space_group_IT_number 225
_space_group_name_Hall '-F 4 2 3'
loop_
_atom_site_label
_atom_site_fract_x
_atom_site_fract_y
_atom_site_fract_z
_atom_site_occupancy
Zn1 0.2500 0.2500 0.2500 1
Si1 0.0000 0.0000 0.0000 1
B1 0.0000 0.0000 0.5000 1
# Total energy = -10.95 eV per formula unit
# E above lowest polymorph = 0.292 eV per atom
# Formation energy from raw total energies = 357 kJ/mol of formula units
# Total magnetization = 0.000 μB per cell

***

No. 6
# ZnSi3B | Alexandria | PBE-GGA | relaxed
data_ZnSi3B
_cell_length_a 4.5980
_cell_length_b 4.5980
_cell_length_c 4.5980
_cell_angle_alpha 90.00
_cell_angle_beta 90.00
_cell_angle_gamma 90.00
_space_group_name_H-M_alt 'P m -3 m'
_space_group_IT_number 221
_space_group_name_Hall '-P 4 2 3'
loop_
_atom_site_label
_atom_site_fract_x
_atom_site_fract_y
_atom_site_fract_z
_atom_site_occupancy
Zn1 0.0000 0.0000 0.0000 1
Si1 0.0000 0.0000 0.5000 1
B1 0.5000 0.5000 0.5000 1
# Total energy = -15.46 eV per formula unit
# E above lowest polymorph = 1.042 eV per atom
# Formation energy from raw total energies = 845 kJ/mol of formula units
# Total magnetization = 0.000 μB per cell

***

No. 7
# ZnSi2B | Alexandria | PBE-GGA | relaxed
data_ZnSi2B
_cell_length_a 5.3866
_cell_length_b 5.3866
_cell_length_c 9.0994
_cell_angle_alpha 90.00
_cell_angle_beta 90.00
_cell_angle_gamma 90.00
_space_group_name_H-M_alt 'I -4 2 d'
_space_group_IT_number 122
_space_group_name_Hall 'I -4 2bw'
loop_
_atom_site_label
_atom_site_fract_x
_atom_site_fract_y
_atom_site_fract_z
_atom_site_occupancy
Zn1 0.0000 0.0000 0.0000 1
Si1 0.1752 0.2500 0.6250 1
B1 0.0000 0.0000 0.5000 1
# Total energy = -17.18 eV per formula unit
# E above lowest polymorph = 0.000 eV per atom
# Formation energy from raw total energies = 156 kJ/mol of formula units
# Total magnetization = 0.000 μB per cell

***

No. 8
# Zn2SiB | Alexandria | PBE-GGA | relaxed
data_Zn2SiB
_cell_length_a 3.9007
_cell_length_b 3.9007
_cell_length_c 14.8243
_cell_angle_alpha 90.00
_cell_angle_beta 90.00
_cell_angle_gamma 90.00
_space_group_name_H-M_alt 'I -4 2 d'
_space_group_IT_number 122
_space_group_name_Hall 'I -4 2bw'
loop_
_atom_site_label
_atom_site_fract_x
_atom_site_fract_y
_atom_site_fract_z
_atom_site_occupancy
Zn1 0.2039 0.2500 0.1250 1
Si1 0.0000 0.0000 0.5000 1
B1 0.0000 0.0000 0.0000 1
# Total energy = -12.12 eV per formula unit
# E above lowest polymorph = 0.000 eV per atom
# Formation energy from raw total energies = 244 kJ/mol of formula units
# Total magnetization = 0.000 μB per cell